Below is a relaxed structure of ErB2Ir3, with properties calculated at the PBEsol level.

Properties
Formation energy ... -0.71 eV per atom
Space-group type ... P6/mmm (191)

Cell lengths 3.128, 5.392, 5.392 Å; angles 120.00, 90.00, 90.00 degrees
Atoms (fractional coordinates):
Ir 0.500 0.500 0.000
Ir 0.500 0.000 0.500
Ir 0.500 0.500 0.500
Er 0.000 0.000 0.000
B 0.000 0.667 0.333
B 0.000 0.333 0.667

Below is a relaxed structure of ErB4Ir2Rh2, with properties calculated at the PBEsol level.

Properties
Formation energy ... -0.61 eV per atom
Space-group type ... P4_2mc (105)

Cell lengths 5.311, 5.311, 7.359 Å; angles 90.00, 90.00, 90.00 degrees
Atoms (fractional coordinates):
Ir 0.500 0.752 0.605
Ir 0.248 0.500 0.105
Ir 0.752 0.500 0.105
Ir 0.500 0.248 0.605
B 0.000 0.830 0.100
B 0.500 0.673 0.902
B 0.830 0.000 0.600
B 0.500 0.327 0.902
B 0.000 0.170 0.100
B 0.327 0.500 0.402
B 0.673 0.500 0.402
B 0.170 0.000 0.600
Rh 0.749 0.000 0.895
Rh 0.000 0.749 0.395
Rh 0.251 0.000 0.895
Rh 0.000 0.251 0.395
Er 0.500 0.000 0.247
Er 0.000 0.500 0.747